(1)
{"formula": "ZrGa5Co6", "functional": "PBE", "state": "optimized geometry", "vol_a3_per_cell": 152.2, "final_energy_ev_per_atom": -5.843, "n_ef_per_ev_atom": 0.63, "ef_ev_per_atom": -0.317, "magnetic_moment_mub_per_atom": 0.156, "cell": [[4.1599, 0.0000, 0.0000], [0.0000, 5.8611, 0.0000], [-2.0705, 0.0000, 6.2427]], "species": ["Zr", "Ga", "Ga", "Ga", "Ga", "Ga", "Co", "Co", "Co", "Co", "Co", "Co"], "fractional_positions": [[0.0000, 0.0000, 0.0000], [0.0000, 0.5000, 0.0000], [0.3344, 0.0000, 0.6688], [0.3346, 0.5000, 0.6696], [0.6654, 0.5000, 0.3304], [0.6656, 0.0000, 0.3312], [0.1722, 0.2568, 0.3442], [0.1722, 0.7432, 0.3442], [0.5000, 0.2668, 0.0000], [0.5000, 0.7332, 0.0000], [0.8278, 0.2568, 0.6558], [0.8278, 0.7432, 0.6558]]}

---

(2)
{"formula": "ZrGaCo3", "functional": "PBE", "state": "optimized geometry", "vol_a3_per_cell": 77.0, "final_energy_ev_per_atom": -6.109, "de_polymorph_ev_per_fu": 0.93, "n_ef_per_ev_atom": 0.03, "ef_ev_per_atom": 0.469, "magnetic_moment_mub_per_atom": 0.000, "cell": [[4.2550, 0.0000, 0.0000], [0.0000, 4.2550, 0.0000], [0.0000, 0.0000, 4.2550]], "species": ["Zr", "Ga", "Co", "Co", "Co"], "fractional_positions": [[0.0000, 0.0000, 0.0000], [0.5000, 0.5000, 0.5000], [0.0000, 0.5000, 0.5000], [0.5000, 0.0000, 0.5000], [0.5000, 0.5000, 0.0000]]}

---

(3)
{"formula": "Zr2GaCo", "functional": "PBE", "state": "optimized geometry", "vol_a3_per_cell": 145.6, "final_energy_ev_per_atom": -7.264, "n_ef_per_ev_atom": 0.72, "ef_ev_per_atom": -0.457, "magnetic_moment_mub_per_atom": 0.000, "cell": [[5.5390, 0.0000, 0.0000], [0.0000, 3.8139, 0.0000], [-2.5899, 0.0000, 6.8940]], "species": ["Zr", "Zr", "Zr", "Zr", "Ga", "Ga", "Co", "Co"], "fractional_positions": [[0.2098, 0.2500, 0.4476], [0.2230, 0.2500, 0.9034], [0.7770, 0.7500, 0.0966], [0.7902, 0.7500, 0.5524], [0.3291, 0.7500, 0.2064], [0.6709, 0.2500, 0.7936], [0.3408, 0.7500, 0.7073], [0.6592, 0.2500, 0.2927]]}

---

(4)
{"formula": "ZrGa2Co2", "functional": "PBE", "state": "optimized geometry", "vol_a3_per_cell": 74.9, "final_energy_ev_per_atom": -6.072, "de_polymorph_ev_per_fu": 0.08, "n_ef_per_ev_atom": 0.77, "ef_ev_per_atom": -0.309, "magnetic_moment_mub_per_atom": 0.000, "cell": [[-1.9509, 1.9509, 4.9200], [1.9509, -1.9509, 4.9200], [1.9509, 1.9509, -4.9200]], "species": ["Zr", "Ga", "Ga", "Co", "Co"], "fractional_positions": [[0.0000, 0.0000, 0.0000], [0.3770, 0.3770, 0.0000], [0.6230, 0.6230, 0.0000], [0.2500, 0.7500, 0.5000], [0.7500, 0.2500, 0.5000]]}

---

(5)
{"formula": "Zr4Ga16Co3", "functional": "PBE", "state": "optimized geometry", "vol_a3_per_cell": 376.4, "final_energy_ev_per_atom": -4.931, "n_ef_per_ev_atom": 0.28, "ef_ev_per_atom": -0.412, "magnetic_moment_mub_per_atom": 0.000, "cell": [[5.9090, 0.0000, 0.0000], [0.0000, 5.9090, 0.0000], [0.0000, 0.0000, 10.7805]], "species": ["Zr", "Zr", "Zr", "Zr", "Ga", "Ga", "Ga", "Ga", "Ga", "Ga", "Ga", "Ga", "Ga", "Ga", "Ga", "Ga", "Ga", "Ga", "Ga", "Ga", "Co", "Co", "Co"], "fractional_positions": [[0.0000, 0.5000, 0.1938], [0.0000, 0.5000, 0.8062], [0.5000, 0.0000, 0.1938], [0.5000, 0.0000, 0.8062], [0.0000, 0.0000, 0.1982], [0.0000, 0.0000, 0.8018], [0.2207, 0.2207, 0.0000], [0.2207, 0.7793, 0.0000], [0.2468, 0.2468, 0.3804], [0.2468, 0.2468, 0.6196], [0.2468, 0.7532, 0.3804], [0.2468, 0.7532, 0.6196], [0.5000, 0.5000, 0.2183], [0.5000, 0.5000, 0.7817], [0.7532, 0.2468, 0.3804], [0.7532, 0.2468, 0.6196], [0.7532, 0.7532, 0.3804], [0.7532, 0.7532, 0.6196], [0.7793, 0.2207, 0.0000], [0.7793, 0.7793, 0.0000], [0.0000, 0.5000, 0.5000], [0.5000, 0.0000, 0.5000], [0.5000, 0.5000, 0.0000]]}

---

(6)
{"formula": "ZrGa2Co2", "functional": "PBE", "state": "optimized geometry", "vol_a3_per_cell": 151.7, "final_energy_ev_per_atom": -6.088, "de_polymorph_ev_per_fu": 0.00, "n_ef_per_ev_atom": 0.96, "ef_ev_per_atom": -0.325, "magnetic_moment_mub_per_atom": 0.000, "cell": [[-1.9527, 1.9527, 9.9438], [1.9527, -1.9527, 9.9438], [1.9527, 1.9527, -9.9438]], "species": ["Zr", "Zr", "Ga", "Ga", "Ga", "Ga", "Co", "Co", "Co", "Co"], "fractional_positions": [[0.1408, 0.1408, 0.0000], [0.8592, 0.8592, 0.0000], [0.0000, 0.5000, 0.5000], [0.3172, 0.3172, 0.0000], [0.5000, 0.0000, 0.5000], [0.6828, 0.6828, 0.0000], [0.2500, 0.7500, 0.5000], [0.4334, 0.4334, 0.0000], [0.5666, 0.5666, 0.0000], [0.7500, 0.2500, 0.5000]]}

---

(7)
{"formula": "Zr3GaCo8", "functional": "PBE", "state": "optimized geometry", "vol_a3_per_cell": 161.2, "final_energy_ev_per_atom": -7.420, "n_ef_per_ev_atom": 1.46, "ef_ev_per_atom": -0.294, "magnetic_moment_mub_per_atom": 0.455, "cell": [[2.4240, 1.3995, 7.9211], [-2.4240, 1.3995, 7.9211], [0.0000, -2.7990, 7.9211]], "species": ["Zr", "Zr", "Zr", "Ga", "Co", "Co", "Co", "Co", "Co", "Co", "Co", "Co"], "fractional_positions": [[0.0000, 0.0000, 0.0000], [0.1282, 0.1282, 0.1282], [0.6164, 0.6164, 0.6164], [0.4944, 0.4944, 0.4944], [0.0598, 0.0598, 0.5627], [0.0598, 0.5627, 0.0598], [0.0626, 0.5609, 0.5609], [0.3114, 0.3114, 0.3114], [0.5609, 0.0626, 0.5609], [0.5609, 0.5609, 0.0626], [0.5627, 0.0598, 0.0598], [0.8118, 0.8118, 0.8118]]}

---

(8)
{"formula": "Gd2Co17", "functional": "PBE", "state": "optimized geometry", "vol_a3_per_cell": 484.4, "final_energy_ev_per_atom": -7.912, "n_ef_per_ev_atom": 1.10, "ef_ev_per_atom": -0.072, "magnetic_moment_mub_per_atom": 2.063, "cell": [[8.3114, 0.0000, 0.0000], [-4.1557, 7.1979, 0.0000], [0.0000, 0.0000, 8.0971]], "species": ["Gd", "Gd", "Gd", "Gd", "Co", "Co", "Co", "Co", "Co", "Co", "Co", "Co", "Co", "Co", "Co", "Co", "Co", "Co", "Co", "Co", "Co", "Co", "Co", "Co", "Co", "Co", "Co", "Co", "Co", "Co", "Co", "Co", "Co", "Co", "Co", "Co", "Co", "Co"], "fractional_positions": [[0.0000, 0.0000, 0.2500], [0.0000, 0.0000, 0.7500], [0.3333, 0.6667, 0.2500], [0.6667, 0.3333, 0.7500], [0.0000, 0.5000, 0.0000], [0.0000, 0.5000, 0.5000], [0.0481, 0.3770, 0.7500], [0.0481, 0.6711, 0.7500], [0.1670, 0.3340, 0.0217], [0.1670, 0.3340, 0.4783], [0.1670, 0.8330, 0.0217], [0.1670, 0.8330, 0.4783], [0.3289, 0.3770, 0.7500], [0.3289, 0.9519, 0.7500], [0.3333, 0.6667, 0.6070], [0.3333, 0.6667, 0.8930], [0.3340, 0.1670, 0.5217], [0.3340, 0.1670, 0.9783], [0.3770, 0.0481, 0.2500], [0.3770, 0.3289, 0.2500], [0.5000, 0.0000, 0.0000], [0.5000, 0.0000, 0.5000], [0.5000, 0.5000, 0.0000], [0.5000, 0.5000, 0.5000], [0.6230, 0.6711, 0.7500], [0.6230, 0.9519, 0.7500], [0.6660, 0.8330, 0.0217], [0.6660, 0.8330, 0.4783], [0.6667, 0.3333, 0.1070], [0.6667, 0.3333, 0.3930], [0.6711, 0.0481, 0.2500], [0.6711, 0.6230, 0.2500], [0.8330, 0.1670, 0.5217], [0.8330, 0.1670, 0.9783], [0.8330, 0.6660, 0.5217], [0.8330, 0.6660, 0.9783], [0.9519, 0.3289, 0.2500], [0.9519, 0.6230, 0.2500]]}

---

(9)
{"formula": "GdCo6", "functional": "PBE", "state": "optimized geometry", "vol_a3_per_cell": 109.8, "final_energy_ev_per_atom": -7.605, "n_ef_per_ev_atom": 1.75, "ef_ev_per_atom": 0.498, "magnetic_moment_mub_per_atom": 1.020, "cell": [[-3.0161, 3.0161, 3.0161], [3.0161, -3.0161, 3.0161], [3.0161, 3.0161, -3.0161]], "species": ["Gd", "Co", "Co", "Co", "Co", "Co", "Co"], "fractional_positions": [[0.0000, 0.0000, 0.0000], [0.2500, 0.5000, 0.7500], [0.2500, 0.7500, 0.5000], [0.5000, 0.2500, 0.7500], [0.5000, 0.7500, 0.2500], [0.7500, 0.2500, 0.5000], [0.7500, 0.5000, 0.2500]]}

---

(10)
{"formula": "GdCo5", "functional": "PBE", "state": "optimized geometry", "vol_a3_per_cell": 83.5, "final_energy_ev_per_atom": -8.341, "n_ef_per_ev_atom": 1.69, "ef_ev_per_atom": -0.072, "magnetic_moment_mub_per_atom": 2.341, "cell": [[4.9412, 0.0000, 0.0000], [-2.4706, 4.2792, 0.0000], [0.0000, 0.0000, 3.9471]], "species": ["Gd", "Co", "Co", "Co", "Co", "Co"], "fractional_positions": [[0.0000, 0.0000, 0.0000], [0.0000, 0.5000, 0.5000], [0.3333, 0.6667, 0.0000], [0.5000, 0.0000, 0.5000], [0.5000, 0.5000, 0.5000], [0.6667, 0.3333, 0.0000]]}

---

(11)
{"formula": "GdCo2Ge2", "functional": "PBE", "state": "optimized geometry", "vol_a3_per_cell": 80.5, "final_energy_ev_per_atom": -8.114, "n_ef_per_ev_atom": 0.68, "ef_ev_per_atom": -0.609, "magnetic_moment_mub_per_atom": 1.434, "cell": [[-1.9880, 1.9880, 5.0916], [1.9880, -1.9880, 5.0916], [1.9880, 1.9880, -5.0916]], "species": ["Gd", "Co", "Co", "Ge", "Ge"], "fractional_positions": [[0.0000, 0.0000, 0.0000], [0.2500, 0.7500, 0.5000], [0.7500, 0.2500, 0.5000], [0.3712, 0.3712, 0.0000], [0.6288, 0.6288, 0.0000]]}